{"formula": "GaIr2SBr", "functional": "PBE", "state": "optimized geometry", "total_energy_ev_per_cell": -23.56, "crystal_system": "tetragonal", "m_tot_mub_per_atom": 0.00, "cell": [[4.282, 0.000, 0.000], [0.000, 4.282, 0.000], [0.000, 0.000, 7.181]], "species": ["Ga", "Ir", "Ir", "S", "Br"], "frac_coords": [[0.000, 0.000, 0.000], [0.000, 0.500, 0.500], [0.500, 0.000, 0.500], [0.500, 0.500, 0.500], [0.500, 0.500, 0.000]]}